Compound: Cd2MoBr
Source: the Alexandria database
Functional: PBE
Structure: relaxed

Cell lengths 5.534, 5.534, 5.534 Å; angles 133.40, 133.40, 68.02 degrees
Atoms (fractional coordinates):
Mo1 0.500 0.500 0.000
Cd1 0.250 0.750 0.500
Br1 0.750 0.250 0.500
Cd2 0.000 0.000 0.000

Results
Size of the total moment   3.09 μB per cell
Space-group type   No. 119
Energy above the lowest structure with this stoichiometry   11.07 kcal/mol of atoms

Compound: CdMoBr2
Source: the Alexandria database
Functional: PBE
Structure: relaxed

Cell lengths 3.412, 3.412, 9.925 Å; angles 90.00, 90.00, 120.29 degrees
Atoms (fractional coordinates):
Mo1 0.500 0.500 0.747
Cd1 0.000 0.000 0.512
Br1 0.500 0.500 0.304
Br2 0.000 0.000 0.937

Results
Size of the total moment   0.78 μB per cell
Space-group type   No. 35
Energy above the lowest structure with this stoichiometry   5.44 kcal/mol of atoms

Compound: CdMo2Br
Source: the Alexandria database
Functional: PBE
Structure: relaxed

Cell lengths 3.114, 3.114, 7.127 Å; angles 90.00, 90.00, 90.00 degrees
Atoms (fractional coordinates):
Cd1 0.500 0.500 0.750
Br1 0.500 0.500 0.250
Mo1 0.000 0.000 0.465
Mo2 0.000 0.000 0.035

Results
Size of the total moment   0.00 μB per cell
Space-group type   No. 123
Energy above the lowest structure with this stoichiometry   16.46 kcal/mol of atoms

Compound: Cd2MoBr
Source: the Alexandria database
Functional: PBE
Structure: relaxed

Cell lengths 5.247, 5.247, 3.232 Å; angles 90.00, 90.00, 90.00 degrees
Atoms (fractional coordinates):
Cd1 0.000 0.000 0.000
Cd2 0.500 0.500 0.000
Br1 0.000 0.500 0.500
Mo1 0.500 0.000 0.500

Results
Size of the total moment   2.55 μB per cell
Space-group type   No. 123
Energy above the lowest structure with this stoichiometry   9.46 kcal/mol of atoms

Compound: CdMo2Br
Source: the Alexandria database
Functional: PBE
Structure: relaxed

Cell lengths 5.356, 5.356, 2.908 Å; angles 90.00, 90.00, 117.65 degrees
Atoms (fractional coordinates):
Mo1 0.500 0.500 0.000
Br1 0.500 0.000 0.500
Mo2 0.000 0.000 0.000
Cd1 0.000 0.500 0.500

Results
Size of the total moment   0.00 μB per cell
Space-group type   No. 65
Energy above the lowest structure with this stoichiometry   19.62 kcal/mol of atoms

Compound: Cd2MoBr
Source: the Alexandria database
Functional: PBE
Structure: relaxed

Cell lengths 3.121, 3.121, 9.089 Å; angles 90.00, 90.00, 90.00 degrees
Atoms (fractional coordinates):
Mo1 0.000 0.000 0.511
Br1 0.500 0.500 0.670
Cd1 0.000 0.000 0.030
Cd2 0.500 0.500 0.289

Results
Size of the total moment   0.02 μB per cell
Space-group type   No. 99
Energy above the lowest structure with this stoichiometry   3.43 kcal/mol of atoms

Compound: CdMo2Br
Source: the Alexandria database
Functional: PBE
Structure: relaxed

Cell lengths 3.063, 3.063, 9.574 Å; angles 90.00, 90.00, 115.41 degrees
Atoms (fractional coordinates):
Br1 0.000 0.000 0.461
Mo1 0.500 0.500 0.228
Mo2 0.000 0.000 0.034
Cd1 0.500 0.500 0.777

Results
Size of the total moment   0.00 μB per cell
Space-group type   No. 35
Energy above the lowest structure with this stoichiometry   3.91 kcal/mol of atoms

Compound: CdMoBr2
Source: the Alexandria database
Functional: PBE
Structure: relaxed

Cell lengths 10.935, 10.935, 10.935 Å; angles 17.47, 17.47, 17.47 degrees
Atoms (fractional coordinates):
Cd1 0.000 0.000 0.000
Br1 0.889 0.889 0.889
Mo1 0.500 0.500 0.500
Br2 0.111 0.111 0.111

Results
Size of the total moment   0.00 μB per cell
Space-group type   No. 166
Energy above the lowest structure with this stoichiometry   0.78 kcal/mol of atoms

Compound: Cd2MoBr
Source: the Alexandria database
Functional: PBE
Structure: relaxed

Cell lengths 9.263, 9.263, 9.263 Å; angles 20.44, 20.44, 20.44 degrees
Atoms (fractional coordinates):
Mo1 0.250 0.250 0.250
Br1 0.750 0.750 0.750
Cd1 0.503 0.503 0.503
Cd2 0.997 0.997 0.997

Results
Size of the total moment   0.00 μB per cell
Space-group type   No. 166
Energy above the lowest structure with this stoichiometry   4.31 kcal/mol of atoms

Compound: CdMo2Br
Source: the Alexandria database
Functional: PBE
Structure: relaxed

Cell lengths 3.058, 4.873, 5.000 Å; angles 90.00, 90.00, 90.00 degrees
Atoms (fractional coordinates):
Cd1 0.000 0.500 0.500
Br1 0.500 0.000 0.500
Mo1 0.000 0.000 0.000
Mo2 0.500 0.500 0.000

Results
Size of the total moment   0.00 μB per cell
Space-group type   No. 47
Energy above the lowest structure with this stoichiometry   16.43 kcal/mol of atoms

Compound: CdMoBr
Source: the Alexandria database
Functional: PBE
Structure: relaxed

Cell lengths 6.992, 6.992, 6.992 Å; angles 154.16, 154.16, 36.87 degrees
Atoms (fractional coordinates):
Br1 0.044 0.044 0.000
Mo1 0.654 0.654 0.000
Cd1 0.302 0.302 0.000

Results
Size of the total moment   0.00 μB per cell
Space-group type   No. 107
Energy above the lowest structure with this stoichiometry   3.68 kcal/mol of atoms

Compound: CdMo2Br
Source: the Alexandria database
Functional: PBE
Structure: relaxed

Cell lengths 4.863, 3.937, 3.937 Å; angles 90.00, 90.00, 90.00 degrees
Atoms (fractional coordinates):
Mo1 0.000 0.000 0.000
Br1 0.500 0.500 0.000
Cd1 0.500 0.000 0.500
Mo2 0.000 0.500 0.500

Results
Size of the total moment   0.00 μB per cell
Space-group type   No. 123
Energy above the lowest structure with this stoichiometry   20.61 kcal/mol of atoms

Energy relative to the elements, uncorrected (computed, eV/atom): 0.667, 0.243, 0.924, 0.597, 1.061, 0.335, 0.380, 0.041, 0.374, 0.923, 0.445, 1.104
DFT total energy (computed, eV/atom): -2.92, -3.53, -5.14, -2.99, -5.00, -3.25, -5.68, -3.73, -3.21, -5.14, -4.03, -4.96